No. 1
Density functional theory data (PBE-GGA) for a relaxed structure of LaPr2ErAs4.

Its space group is P2/m (10). The raw total energy is -0.2282 hartree per atom.

abc: 4.2755 7.3971 7.3931
angles: 70.57 90.00 90.00
Atoms (fractional coordinates):
Er 0.0000 0.5000 0.5000
La 0.5000 0.5000 0.0000
As 0.0000 0.7467 0.7440
As 0.5000 0.7417 0.2596
As 0.5000 0.2583 0.7404
Pr 0.5000 0.0000 0.5000
Pr 0.0000 0.0000 0.0000
As 0.0000 0.2533 0.2560

***

No. 2
Density functional theory data (PBE-GGA) for a relaxed structure of SrLi2CdHg2.

Its space group is P-3m1 (164). The raw total energy is -0.0569 hartree per atom.

abc: 4.7726 4.7726 7.3419
angles: 90.00 90.00 120.00
Atoms (fractional coordinates):
Sr 0.0000 0.0000 0.0000
Hg 0.3333 0.6667 0.2757
Li 0.3333 0.6667 0.6575
Cd 0.0000 0.0000 0.5000
Li 0.6667 0.3333 0.3425
Hg 0.6667 0.3333 0.7243

***

No. 3
Density functional theory data (PBE-GGA) for a relaxed structure of K4Sc.

Its space group is Im-3m (229). The raw total energy is -0.0563 hartree per atom.

abc: 7.8376 7.8376 7.8376
angles: 109.47 109.47 109.47
Each line ends with the local moment (μB).
Atoms (fractional coordinates):
K 0.5000 0.0000 0.0000  0.01
K 0.0000 0.0000 0.5000  0.01
K 0.5000 0.5000 0.5000  0.01
K 0.0000 0.5000 0.0000  0.01
Sc 0.0000 0.0000 0.0000  0.97

***

| no. | formation energy from the elements (eV/atom) |
| --- | --- |
| 1 | -1.505 |
| 2 | -0.377 |
| 3 | 0.612 |